Entry 1:
# HfTc2HgF

An optimized crystal structure of HfTc2HgF (PBEsol, Alexandria via LeMat-Bulk).

As for the formation energy (no corrections): 0.366 eV/atom. The density of states at the Fermi level comes out at 1.143 states/eV per atom.

CIF file:
```
data_HfTc2HgF
_cell_length_a 4.097
_cell_length_b 4.097
_cell_length_c 4.753
_cell_angle_alpha 90.00
_cell_angle_beta 90.00
_cell_angle_gamma 90.00
_symmetry_space_group_name_H-M 'P 4/m m m'
_symmetry_Int_Tables_number 123
_symmetry_space_group_name_Hall '-P 4 2'
loop_
_atom_site_label
_atom_site_fract_x
_atom_site_fract_y
_atom_site_fract_z
_atom_site_occupancy
Hf1 0.000 0.000 0.000 1
Tc1 0.000 0.500 0.500 1
Hg1 0.500 0.500 0.000 1
F1 0.500 0.500 0.500 1
```

=====

Entry 2:
# HfMg2IF

An optimized crystal structure of HfMg2IF (PBEsol, Alexandria via LeMat-Bulk).

As for the formation energy (no corrections): 0.506 eV/atom. The density of states at the Fermi level comes out at 1.073 states/eV per atom.

CIF file:
```
data_HfMg2IF
_cell_length_a 5.617
_cell_length_b 5.617
_cell_length_c 4.300
_cell_angle_alpha 90.00
_cell_angle_beta 90.00
_cell_angle_gamma 90.00
_symmetry_space_group_name_H-M 'P 4/m m m'
_symmetry_Int_Tables_number 123
_symmetry_space_group_name_Hall '-P 4 2'
loop_
_atom_site_label
_atom_site_fract_x
_atom_site_fract_y
_atom_site_fract_z
_atom_site_occupancy
Hf1 0.000 0.000 0.000 1
Mg1 0.000 0.500 0.500 1
I1 0.500 0.500 0.500 1
F1 0.500 0.500 0.000 1
```

=====

Entry 3:
# HfIN2F

An optimized crystal structure of HfIN2F (PBEsol, Alexandria via LeMat-Bulk).

As for the formation energy (no corrections): 1.090 eV/atom. The density of states at the Fermi level comes out at 0.536 states/eV per atom.

CIF file:
```
data_HfIN2F
_cell_length_a 4.185
_cell_length_b 4.185
_cell_length_c 4.275
_cell_angle_alpha 90.00
_cell_angle_beta 90.00
_cell_angle_gamma 90.00
_symmetry_space_group_name_H-M 'P 4/m m m'
_symmetry_Int_Tables_number 123
_symmetry_space_group_name_Hall '-P 4 2'
loop_
_atom_site_label
_atom_site_fract_x
_atom_site_fract_y
_atom_site_fract_z
_atom_site_occupancy
Hf1 0.000 0.000 0.000 1
I1 0.500 0.500 0.500 1
N1 0.000 0.500 0.500 1
F1 0.500 0.500 0.000 1
```

=====

Entry 4:
# HfInMoF2

An optimized crystal structure of HfInMoF2 (PBEsol, Alexandria via LeMat-Bulk).

As for the formation energy (no corrections): -0.621 eV/atom. The density of states at the Fermi level comes out at 0.938 states/eV per atom.

CIF file:
```
data_HfInMoF2
_cell_length_a 4.098
_cell_length_b 4.098
_cell_length_c 5.295
_cell_angle_alpha 90.00
_cell_angle_beta 90.00
_cell_angle_gamma 90.00
_symmetry_space_group_name_H-M 'P 4/m m m'
_symmetry_Int_Tables_number 123
_symmetry_space_group_name_Hall '-P 4 2'
loop_
_atom_site_label
_atom_site_fract_x
_atom_site_fract_y
_atom_site_fract_z
_atom_site_occupancy
Hf1 0.000 0.000 0.000 1
In1 0.500 0.500 0.000 1
Mo1 0.000 0.000 0.500 1
F1 0.000 0.500 0.500 1
```